Material: CrSnB2Mo
Method: DFT, PBE
State: relaxed

## Properties
- DFT formation energy (meV/atom) = 2697
- total magnetization (μB/cell) = 0.95
- raw total energy (eV for the cell shown) = -24.33

Cell lengths 4.1737, 4.1737, 5.3013 Å; angles 90.00, 90.00, 90.00 degrees
With the nearest neighbours (Å) after each atom.
Fractional positions:
Cr (0.0000, 0.0000, 0.0000)  4 Mo 2.95
Sn (0.5000, 0.5000, 0.5000)  4 B 2.09
B (0.0000, 0.5000, 0.5000)  2 Sn 2.09
B (0.5000, 0.0000, 0.5000)  2 Sn 2.09
Mo (0.5000, 0.5000, 0.0000)  2 Sn 2.65, 4 Cr 2.95